Compound: ZrGa3S
Source: Alexandria
Functional: PBEsol
Structure: optimized geometry

Computed properties:
- raw formation energy (eV per atom) = 0.3764

a = 4.6375 Å, b = 4.6375 Å, c = 4.6375 Å
α = 90.00°, β = 90.00°, γ = 90.00°
Closest atoms and distances in Å follow each position.
Fractional coordinates of all 5 atoms:
S 0.0000 0.0000 0.0000  6 Ga 2.32
Zr 0.5000 0.5000 0.5000  12 Ga 3.28
Ga 0.0000 0.0000 0.5000  2 S 2.32
Ga 0.5000 0.0000 0.0000  2 S 2.32
Ga 0.0000 0.5000 0.0000  2 S 2.32